# 1
This record from Alexandria via LeMat-Bulk describes an optimized crystal structure of Er5As2Se2. The functional is PBE-GGA.

Cell and atoms, written as CIF:
```
data_Er5As2Se2
_chemical_formula_sum 'Er20 As8 Se8'
_cell_length_a 14.377
_cell_length_b 7.548
_cell_length_c 7.606
_cell_angle_alpha 90.00
_cell_angle_beta 90.00
_cell_angle_gamma 90.00
_space_group_name_H-M_alt 'C m c e'
_space_group_IT_number 64
_space_group_name_Hall '-C 2ac 2'
loop_
_atom_site_label
_atom_site_fract_x
_atom_site_fract_y
_atom_site_fract_z
Er1 0.000 0.000 0.000
Er2 0.135 0.158 0.345
As1 0.000 0.147 0.645
Se1 0.197 0.000 0.000
```

Calculated values
Size of the total moment in μB/f.u.: 0.00
Calculated total energy in eV per cell: -203.22
Formation energy without anion corrections in meV/atom: -1302

=====

# 2
This record from Alexandria via LeMat-Bulk describes an optimized crystal structure of Ho3ErPt12. The functional is PBE-GGA.

Cell and atoms, written as CIF:
```
data_Ho3ErPt12
_chemical_formula_sum 'Ho3 Er1 Pt12'
_cell_length_a 4.114
_cell_length_b 4.114
_cell_length_c 16.385
_cell_angle_alpha 90.00
_cell_angle_beta 90.00
_cell_angle_gamma 90.00
_space_group_name_H-M_alt 'P 4/m m m'
_space_group_IT_number 123
_space_group_name_Hall '-P 4 2'
loop_
_atom_site_label
_atom_site_fract_x
_atom_site_fract_y
_atom_site_fract_z
Ho1 0.000 0.000 0.000
Ho2 0.000 0.000 0.250
Er1 0.000 0.000 0.500
Pt1 0.000 0.500 0.125
Pt2 0.000 0.500 0.376
Pt3 0.500 0.500 0.000
Pt4 0.500 0.500 0.250
Pt5 0.500 0.500 0.500
```

Calculated values
Size of the total moment in μB/f.u.: 0.00
Calculated total energy in eV per cell: -107.69

=====

# 3
This record from Alexandria via LeMat-Bulk describes an optimized crystal structure of PmPuBiAu. The functional is PBE-GGA.

Cell and atoms, written as CIF:
```
data_PmPuBiAu
_chemical_formula_sum 'Pm4 Pu4 Bi4 Au4'
_cell_length_a 7.606
_cell_length_b 7.606
_cell_length_c 7.606
_cell_angle_alpha 90.00
_cell_angle_beta 90.00
_cell_angle_gamma 90.00
_space_group_name_H-M_alt 'F -4 3 m'
_space_group_IT_number 216
_space_group_name_Hall 'F -4 2 3'
loop_
_atom_site_label
_atom_site_fract_x
_atom_site_fract_y
_atom_site_fract_z
Pm1 0.000 0.000 0.000
Pu1 0.000 0.000 0.500
Bi1 0.250 0.250 0.750
Au1 0.250 0.250 0.250
```

Calculated values
Size of the total moment in μB/f.u.: 7.01
Calculated total energy in eV per cell: -113.55

=====

# 4
This record from Alexandria via LeMat-Bulk describes an optimized crystal structure of NbInOsRh. The functional is PBE-GGA.

Cell and atoms, written as CIF:
```
data_NbInOsRh
_chemical_formula_sum 'Nb4 In4 Os4 Rh4'
_cell_length_a 6.435
_cell_length_b 6.435
_cell_length_c 6.435
_cell_angle_alpha 90.00
_cell_angle_beta 90.00
_cell_angle_gamma 90.00
_space_group_name_H-M_alt 'F -4 3 m'
_space_group_IT_number 216
_space_group_name_Hall 'F -4 2 3'
loop_
_atom_site_label
_atom_site_fract_x
_atom_site_fract_y
_atom_site_fract_z
Nb1 0.000 0.000 0.000
In1 0.000 0.000 0.500
Os1 0.250 0.250 0.750
Rh1 0.250 0.250 0.250
```

Calculated values
Size of the total moment in μB/f.u.: 0.00
Calculated total energy in eV per cell: -127.70

=====

# 5
This record from Alexandria via LeMat-Bulk describes an optimized crystal structure of Tl2BIr. The functional is PBE-GGA.

Cell and atoms, written as CIF:
```
data_Tl2BIr
_chemical_formula_sum 'Tl8 B4 Ir4'
_cell_length_a 6.722
_cell_length_b 6.722
_cell_length_c 6.722
_cell_angle_alpha 90.00
_cell_angle_beta 90.00
_cell_angle_gamma 90.00
_space_group_name_H-M_alt 'F m -3 m'
_space_group_IT_number 225
_space_group_name_Hall '-F 4 2 3'
loop_
_atom_site_label
_atom_site_fract_x
_atom_site_fract_y
_atom_site_fract_z
Tl1 0.250 0.250 0.250
B1 0.000 0.000 0.000
Ir1 0.000 0.000 0.500
```

Calculated values
Size of the total moment in μB/f.u.: 0.00
ΔE to the lowest computed polymorph in meV per atom: 0.0
Calculated total energy in eV per cell: -60.77

=====

# 6
This record from Alexandria via LeMat-Bulk describes an optimized crystal structure of CdNi2MoN. The functional is PBE-GGA.

Cell and atoms, written as CIF:
```
data_CdNi2MoN
_chemical_formula_sum 'Cd1 Ni2 Mo1 N1'
_cell_length_a 3.960
_cell_length_b 3.960
_cell_length_c 4.053
_cell_angle_alpha 90.00
_cell_angle_beta 90.00
_cell_angle_gamma 90.00
_space_group_name_H-M_alt 'P 4/m m m'
_space_group_IT_number 123
_space_group_name_Hall '-P 4 2'
loop_
_atom_site_label
_atom_site_fract_x
_atom_site_fract_y
_atom_site_fract_z
Cd1 0.000 0.000 0.000
Ni1 0.000 0.500 0.500
Mo1 0.500 0.500 0.000
N1 0.500 0.500 0.500
```

Calculated values
Size of the total moment in μB/f.u.: 0.27
Calculated total energy in eV per cell: -31.53
Formation energy without anion corrections in meV/atom: 20

=====

- What is the size of the total moment in the fifth record?
  0.00 μB/f.u.

=====

- What is the size of the total moment in the fifth record?
  0.00 μB/f.u.

=====

- What is the size of the total moment in the first record?
  0.00 μB/f.u.